Record 1
VASP calculation (GGA-PBE) on a relaxed structure of Ac2GeBr.

The calculation puts the total energy at -4.60 eV per atom. As for the theoretical density: 8.36 g/cm³. As for the energy above the most stable polymorph in this dataset: 0.67 eV/f.u. The uncorrected formation energy is -971 meV/atom.

It has space group Fm-3m (No. 225), with a = 7.839 Å, b = 7.839 Å, c = 7.839 Å, α = 90.00°, β = 90.00° and γ = 90.00°. The distinct sites, in fractional coordinates, are Ac at (0.250, 0.250, 0.250), Ge at (0.000, 0.000, 0.000) and Br at (0.000, 0.000, 0.500).

=====

Record 2
VASP calculation (GGA-PBE) on a relaxed structure of Ac2GeBr.

The calculation puts the total energy at -4.53 eV per atom. As for the theoretical density: 8.18 g/cm³. As for the energy above the most stable polymorph in this dataset: 0.94 eV/f.u. The uncorrected formation energy is -903 meV/atom.

It has space group P4/mmm (No. 123), with a = 3.893 Å, b = 3.893 Å, c = 8.127 Å, α = 90.00°, β = 90.00° and γ = 90.00°. The distinct sites, in fractional coordinates, are Ac at (0.000, 0.000, 0.223), Ge at (0.500, 0.500, 0.000) and Br at (0.500, 0.500, 0.500).

=====

Record 3
VASP calculation (GGA-PBE) on a relaxed structure of Ac2Ge2Br.

The calculation puts the total energy at -4.86 eV per atom. As for the theoretical density: 7.00 g/cm³. The uncorrected formation energy is -1037 meV/atom.

It has space group Imma (No. 74), with a = 8.673 Å, b = 17.626 Å, c = 4.213 Å, α = 90.00°, β = 90.00° and γ = 90.00°. The distinct sites, in fractional coordinates, are Ac at (0.250, 0.104, 0.250), Ge at (0.000, 0.045, 0.750) and Br at (0.000, 0.250, 0.246).

=====

Record 4
VASP calculation (GGA-PBE) on a relaxed structure of Ac4Ge2Br5.

The calculation puts the total energy at -4.49 eV per atom. As for the theoretical density: 5.03 g/cm³. The uncorrected formation energy is -1394 meV/atom.

It has space group C2/m (No. 12), with a = 24.707 Å, b = 4.481 Å, c = 8.733 Å, α = 90.00°, β = 97.05° and γ = 90.00°. The distinct sites, in fractional coordinates, are Ac at (0.007, 0.000, 0.279), Ac at (0.161, 0.500, 0.455), Ge at (0.050, 0.500, 0.533), Br at (0.000, 0.500, 0.000), Br at (0.134, 0.000, 0.207) and Br at (0.220, 0.000, 0.674).

=====

Record 5
VASP calculation (GGA-PBE) on a relaxed structure of Ac12Ge5Br2.

The calculation puts the total energy at -4.53 eV per atom. As for the theoretical density: 7.44 g/cm³. The uncorrected formation energy is -548 meV/atom.

It has space group C2/m (No. 12), with a = 18.273 Å, b = 8.199 Å, c = 9.982 Å, α = 90.00°, β = 104.31° and γ = 90.00°. The distinct sites, in fractional coordinates, are Ac at (0.005, 0.000, 0.279), Ac at (0.007, 0.500, 0.803), Ac at (0.147, 0.255, 0.564), Ac at (0.174, 0.253, 0.102), Ge at (0.000, 0.500, 0.500), Ge at (0.178, 0.000, 0.839), Ge at (0.198, 0.000, 0.355) and Br at (0.000, 0.203, 0.000).

=====

Record 6
VASP calculation (GGA-PBE) on a relaxed structure of Ac4Ge3Br.

The calculation puts the total energy at -4.90 eV per atom. As for the theoretical density: 7.28 g/cm³. The uncorrected formation energy is -910 meV/atom.

It has space group Pmmm (No. 47), with a = 4.623 Å, b = 6.456 Å, c = 9.213 Å, α = 90.00°, β = 90.00° and γ = 90.00°. The distinct sites, in fractional coordinates, are Ac at (0.000, 0.000, 0.000), Ac at (0.000, 0.000, 0.500), Ac at (0.500, 0.500, 0.231), Ge at (0.000, 0.500, 0.000), Ge at (0.500, 0.000, 0.261) and Br at (0.000, 0.500, 0.500).

=====

Record 7
VASP calculation (GGA-PBE) on a relaxed structure of Ac3Ge2Br.

The calculation puts the total energy at -4.75 eV per atom. As for the theoretical density: 6.58 g/cm³. As for the energy above the most stable polymorph in this dataset: 0.87 eV/f.u. The uncorrected formation energy is -882 meV/atom.

It has space group Cmcm (No. 63), with a = 14.130 Å, b = 8.136 Å, c = 7.959 Å, α = 90.00°, β = 90.00° and γ = 90.00°. The distinct sites, in fractional coordinates, are Ac at (0.000, 0.114, 0.250), Ac at (0.193, 0.307, 0.750), Ge at (0.166, 0.000, 0.000) and Br at (0.000, 0.499, 0.750).

=====

Record 8
VASP calculation (GGA-PBE) on a relaxed structure of Ac8Ge5Br.

The calculation puts the total energy at -4.87 eV per atom. As for the theoretical density: 8.08 g/cm³. The uncorrected formation energy is -750 meV/atom.

It has space group I-4 (No. 82), with a = 9.748 Å, b = 9.748 Å, c = 9.770 Å, α = 90.00°, β = 90.00° and γ = 90.00°. The distinct sites, in fractional coordinates, are Ac at (0.068, 0.190, 0.182), Ac at (0.073, 0.324, 0.560), Ge at (0.000, 0.500, 0.250), Ge at (0.129, 0.253, 0.873) and Br at (0.000, 0.000, 0.500).

=====

Record 9
VASP calculation (GGA-PBE) on a relaxed structure of Ac3Ge2Br.

The calculation puts the total energy at -4.90 eV per atom. As for the theoretical density: 7.27 g/cm³. As for the energy above the most stable polymorph in this dataset: 0.00 eV/f.u. The uncorrected formation energy is -1028 meV/atom.

It has space group Immm (No. 71), with a = 4.611 Å, b = 6.432 Å, c = 13.960 Å, α = 90.00°, β = 90.00° and γ = 90.00°. The distinct sites, in fractional coordinates, are Ac at (0.000, 0.000, 0.000), Ac at (0.000, 0.000, 0.318), Ge at (0.000, 0.500, 0.340) and Br at (0.000, 0.500, 0.000).

=====

Record 10
VASP calculation (GGA-PBE) on a relaxed structure of Ac3Ge2Br2.

The calculation puts the total energy at -4.60 eV per atom. As for the theoretical density: 5.85 g/cm³. The uncorrected formation energy is -1044 meV/atom.

It has space group P-1 (No. 2), with a = 4.516 Å, b = 7.878 Å, c = 8.501 Å, α = 75.37°, β = 89.92° and γ = 73.68°. The distinct sites, in fractional coordinates, are Ac at (0.000, 0.000, 0.000), Ac at (0.223, 0.550, 0.763), Ge at (0.377, 0.249, 0.094) and Br at (0.150, 0.705, 0.361).

=====

Record 11
VASP calculation (GGA-PBE) on a relaxed structure of Ac2GeBr.

The calculation puts the total energy at -4.72 eV per atom. As for the theoretical density: 7.06 g/cm³. As for the energy above the most stable polymorph in this dataset: 0.17 eV/f.u. The uncorrected formation energy is -1095 meV/atom.

It has space group R3m (No. 160, hexagonal axes), with a = 4.5102 Å, b = 4.5102 Å, c = 24.2861 Å, α = 90.00°, β = 90.00° and γ = 120.00°. The distinct sites, in fractional coordinates, are Ac at (0.0000, 0.0000, 0.0000), Ac at (0.0000, 0.0000, 0.1942), Ge at (0.0000, 0.0000, 0.5979) and Br at (0.0000, 0.0000, 0.4278).

=====

Record 12
VASP calculation (GGA-PBE) on a relaxed structure of Ac6Ge3Br.

The calculation puts the total energy at -4.64 eV per atom. As for the theoretical density: 7.39 g/cm³. The uncorrected formation energy is -623 meV/atom.

It has space group Cmc2_1 (No. 36), with a = 12.568 Å, b = 15.359 Å, c = 7.728 Å, α = 90.00°, β = 90.00° and γ = 90.00°. The distinct sites, in fractional coordinates, are Ac at (0.000, 0.006, 0.000), Ac at (0.000, 0.247, 0.639), Ac at (0.170, 0.462, 0.600), Ac at (0.175, 0.272, 0.054), Ge at (0.000, 0.408, 0.907), Ge at (0.173, 0.104, 0.777) and Br at (0.000, 0.163, 0.258).